{"formula": "Li2VO2F", "functional": "GGA+U", "state": "relaxed", "lattice": [[7.6306, -1.4953, 0.0000], [7.6306, 1.4953, 0.0000], [-1.6247, 0.0000, 4.8449]], "species": ["Li", "Li", "Li", "Li", "V", "V", "O", "O", "O", "O", "F", "F"], "frac_coords": [[0.0858, 0.0858, 0.2468], [0.2645, 0.2466, 0.7749], [0.7534, 0.7355, 0.2251], [0.9142, 0.9142, 0.7532], [0.4134, 0.4250, 0.2275], [0.5750, 0.5866, 0.7725], [0.1756, 0.1442, 0.9814], [0.5026, 0.4974, 0.0000], [0.8558, 0.8244, 0.0186], [0.9721, 0.0279, 0.5000], [0.3389, 0.3287, 0.4891], [0.6713, 0.6611, 0.5109]], "space_group": "C2, No. 5", "volume_a3_per_cell": 111, "m_tot_mub_per_atom": 0.33, "e_above_lowest_polymorph_ev_per_atom": 0.0619, "e_tot_ev_per_atom": -6.1684}